1.
Here is a relaxed structure of Ga9Ir2 from OQMD. Energies are from PBE-GGA.

Lattice parameters (Å, degrees): 6.4559 6.4599 8.8926 90.00 94.25 90.00
Closest atoms and distances in Å follow each position.
Element x y z (fractional)
Ga1 0.1032 0.2194 0.2279  2 Ir 2.58-2.59, 3 Ga 2.70-2.76
Ga2 0.6092 0.7987 0.5027  2 Ir 2.66-2.67, 8 Ga 2.78-2.96
Ir1 0.7383 0.1255 0.6680  9 Ga 2.47-2.67
Ga3 0.3976 0.5154 0.2674  2 Ir 2.56-2.60, 3 Ga 2.70-2.85
Ga4 0.6024 0.4846 0.7326  2 Ir 2.56-2.60, 3 Ga 2.70-2.85
Ga5 0.2074 0.5983 0.5404  2 Ir 2.60-2.62, 3 Ga 2.76-2.86
Ga6 0.1032 0.2806 0.7279  2 Ir 2.58-2.59, 3 Ga 2.70-2.76
Ga7 0.8968 0.7806 0.7721  2 Ir 2.58-2.59, 3 Ga 2.70-2.76
Ir2 0.7383 0.3745 0.1680  9 Ga 2.47-2.67
Ga8 0.2074 0.9017 0.0404  2 Ir 2.60-2.62, 3 Ga 2.76-2.86
Ga9 0.3976 0.9846 0.7674  2 Ir 2.56-2.60, 3 Ga 2.70-2.85
Ir3 0.2617 0.8745 0.3320  9 Ga 2.47-2.67
Ga10 0.3908 0.2987 0.9973  2 Ir 2.66-2.67, 8 Ga 2.78-2.96
Ir4 0.2617 0.6255 0.8320  9 Ga 2.47-2.67
Ga11 0.6092 0.7013 0.0027  2 Ir 2.66-2.67, 8 Ga 2.78-2.96
Ga12 0.0000 0.5000 0.0000  2 Ir 2.47, 2 Ga 2.76
Ga13 0.8968 0.7194 0.2721  2 Ir 2.58-2.59, 3 Ga 2.70-2.76
Ga14 0.3908 0.2013 0.4973  2 Ir 2.66-2.67, 8 Ga 2.78-2.96
Ga15 0.6024 0.0154 0.2326  2 Ir 2.56-2.60, 3 Ga 2.70-2.85
Ga16 0.7926 0.4017 0.4596  2 Ir 2.60-2.62, 3 Ga 2.76-2.86
Ga17 0.0000 0.0000 0.5000  2 Ir 2.47, 2 Ga 2.76
Ga18 0.7926 0.0983 0.9596  2 Ir 2.60-2.62, 3 Ga 2.76-2.86

Output
- Space group: No. 14
- Calculated total energy: -4.39 eV per atom



2.
Here is a relaxed structure of TaCuSnOs from OQMD. Energies are from PBE-GGA.

Lattice parameters (Å, degrees): 4.5174 4.5174 4.5174 60.00 60.00 60.00
Closest atoms and distances in Å follow each position.
Element x y z (fractional)
Os1 0.2500 0.2500 0.2500  4 Ta 2.77, 4 Sn 2.77
Sn1 0.0000 0.0000 0.0000  4 Os 2.77, 4 Cu 2.77
Cu1 0.7500 0.7500 0.7500  4 Ta 2.77, 4 Sn 2.77
Ta1 0.5000 0.5000 0.5000  4 Os 2.77, 4 Cu 2.77

Output
- Space group: No. 216
- E above lowest polymorph: 0.00 eV per formula unit



> Number 1 is which compound?

Ga9Ir2